Entry 1:
Material: BaBeW
Method: DFT, GGA-PBE
State: optimized geometry

It has space group F-43m (No. 216), with a = 7.2831 Å, b = 7.2831 Å, c = 7.2831 Å, α = 90.00°, β = 90.00° and γ = 90.00°. Symmetry generates all atoms from Ba at (0.0000, 0.0000, 0.0000), Be at (0.2500, 0.2500, 0.7500) and W at (0.2500, 0.2500, 0.2500).

Its offset from the most stable computed form is 1.654 eV/atom.

=====

Entry 2:
Material: BaBe3W
Method: DFT, GGA-PBE
State: optimized geometry

It has space group Pm-3m (No. 221), with a = 4.6764 Å, b = 4.6764 Å, c = 4.6764 Å, α = 90.00°, β = 90.00° and γ = 90.00°. Symmetry generates all atoms from Ba at (0.0000, 0.0000, 0.0000), Be at (0.0000, 0.5000, 0.5000) and W at (0.5000, 0.5000, 0.5000).

Its offset from the most stable computed form is 0.000 eV/atom.

=====

Entry 3:
Material: BaBe4W
Method: DFT, GGA-PBE
State: optimized geometry

It has space group F-43m (No. 216), with a = 6.9475 Å, b = 6.9475 Å, c = 6.9475 Å, α = 90.00°, β = 90.00° and γ = 90.00°. Symmetry generates all atoms from Ba at (0.0000, 0.0000, 0.0000), Be at (0.1182, 0.1182, 0.6182) and W at (0.2500, 0.2500, 0.2500).

=====

Entry 4:
Material: BaBeW
Method: DFT, GGA-PBE
State: optimized geometry

It has space group F-43m (No. 216), with a = 6.7269 Å, b = 6.7269 Å, c = 6.7269 Å, α = 90.00°, β = 90.00° and γ = 90.00°. Symmetry generates all atoms from Ba at (0.0000, 0.0000, 0.0000), Be at (0.2500, 0.2500, 0.2500) and W at (0.0000, 0.0000, 0.5000).

Its offset from the most stable computed form is 0.840 eV/atom.

=====

Calculated values (eV/atom) of uncorrected energy for the records, taken in order: -3.621; -4.345; -4.156; -4.435.
Calculated values (eV/atom) of formation energy for the records, taken in order: 2.58; 0.87; 0.81; 1.77.